1.
Entry from the Alexandria database: a relaxed structure of MgCrIr (GGA-PBE). Values from VASP.

```
&SYSTEM
  ibrav = 0, nat = 3, ntyp = 3
/
ATOMIC_SPECIES
Mg 24.30 Mg.upf
Cr 52.00 Cr.upf
Ir 192.22 Ir.upf
CELL_PARAMETERS angstrom
0.0000 2.9432 2.9432
2.9432 0.0000 2.9432
2.9432 2.9432 0.0000
ATOMIC_POSITIONS crystal
Mg 0.0000 0.0000 0.0000
Cr 0.5000 0.5000 0.5000
Ir 0.7500 0.7500 0.7500
```

Computed properties:
Density in g/cm3: 8.74
E above lowest polymorph in meV per atom: 382

---

2.
Entry from the Alexandria database: a relaxed structure of Pa3Te2As (GGA-PBE). Values from VASP.

```
&SYSTEM
  ibrav = 0, nat = 12, ntyp = 3
/
ATOMIC_SPECIES
Pa 231.04 Pa.upf
Te 127.60 Te.upf
As 74.92 As.upf
CELL_PARAMETERS angstrom
5.6857 -3.2592 0.0000
5.6857 3.2592 0.0000
0.0000 0.0000 8.5761
ATOMIC_POSITIONS crystal
Pa 0.0000 0.0000 0.0000
Pa 0.0000 0.0000 0.5000
Pa 0.3472 0.3472 0.0000
Pa 0.3472 0.3472 0.5000
Pa 0.6528 0.6528 0.0000
Pa 0.6528 0.6528 0.5000
Te 0.0101 0.3322 0.2500
Te 0.3322 0.0101 0.7500
Te 0.6678 0.9899 0.2500
Te 0.9899 0.6678 0.7500
As 0.3276 0.6724 0.2500
As 0.6724 0.3276 0.7500
```

Computed properties:
Formation energy (no corrections) in eV/atom: -0.665
Density in g/cm3: 10.69
E above lowest polymorph in meV per atom: 91

---

3.
Entry from the Alexandria database: a relaxed structure of BiSbN3 (GGA-PBE). Values from VASP.

```
&SYSTEM
  ibrav = 0, nat = 5, ntyp = 3
/
ATOMIC_SPECIES
Bi 208.98 Bi.upf
Sb 121.76 Sb.upf
N 14.01 N.upf
CELL_PARAMETERS angstrom
4.0732 0.0000 0.0000
0.0000 4.0732 0.0000
0.0000 0.0000 4.0732
ATOMIC_POSITIONS crystal
Bi 0.0000 0.0000 0.0000
Sb 0.5000 0.5000 0.5000
N 0.0000 0.5000 0.5000
N 0.5000 0.0000 0.5000
N 0.5000 0.5000 0.0000
```

Computed properties:
Formation energy (no corrections) in eV/atom: 1.120
Density in g/cm3: 9.16

---

4.
Entry from the Alexandria database: a relaxed structure of Cr2Ga2Ge (GGA-PBE). Values from VASP.

```
&SYSTEM
  ibrav = 0, nat = 10, ntyp = 3
/
ATOMIC_SPECIES
Cr 52.00 Cr.upf
Ga 69.72 Ga.upf
Ge 72.64 Ge.upf
CELL_PARAMETERS angstrom
6.0959 0.0000 0.0000
0.0000 6.0959 0.0000
0.0000 0.0000 3.9426
ATOMIC_POSITIONS crystal
Cr 0.1294 0.3706 0.0000
Cr 0.3706 0.8706 0.0000
Cr 0.6294 0.1294 0.0000
Cr 0.8706 0.6294 0.0000
Ga 0.1629 0.6629 0.5000
Ga 0.3371 0.1629 0.5000
Ga 0.6629 0.8371 0.5000
Ga 0.8371 0.3371 0.5000
Ge 0.0000 0.0000 0.0000
Ge 0.5000 0.5000 0.0000
```

Computed properties:
Density in g/cm3: 7.17

---

5.
Entry from the Alexandria database: a relaxed structure of CeSmGdTm (GGA-PBE). Values from VASP.

```
&SYSTEM
  ibrav = 0, nat = 4, ntyp = 4
/
ATOMIC_SPECIES
Ce 140.12 Ce.upf
Sm 150.36 Sm.upf
Gd 157.25 Gd.upf
Tm 168.93 Tm.upf
CELL_PARAMETERS angstrom
0.0000 4.0176 4.0176
4.0176 0.0000 4.0176
4.0176 4.0176 0.0000
ATOMIC_POSITIONS crystal
Ce 0.0000 0.0000 0.0000
Sm 0.2500 0.2500 0.2500
Gd 0.7500 0.7500 0.7500
Tm 0.5000 0.5000 0.5000
```

Computed properties:
Density in g/cm3: 7.90

---

6.
Entry from the Alexandria database: a relaxed structure of Th2Si7Tc12 (GGA-PBE). Values from VASP.

```
&SYSTEM
  ibrav = 0, nat = 21, ntyp = 3
/
ATOMIC_SPECIES
Th 232.04 Th.upf
Si 28.09 Si.upf
Tc 98.00 Tc.upf
CELL_PARAMETERS angstrom
9.7618 0.0000 0.0000
-4.8809 8.4539 0.0000
0.0000 0.0000 4.0460
ATOMIC_POSITIONS crystal
Th 0.0000 0.0000 0.0000
Th 0.3333 0.6667 0.5000
Si 0.0692 0.4627 0.0000
Si 0.2531 0.2347 0.5000
Si 0.3935 0.9308 0.0000
Si 0.5373 0.6065 0.0000
Si 0.6667 0.3333 0.0000
Si 0.7653 0.0183 0.5000
Si 0.9817 0.7469 0.5000
Tc 0.0185 0.2804 0.5000
Tc 0.1037 0.7246 0.0000
Tc 0.2619 0.9815 0.5000
Tc 0.2754 0.3791 0.0000
Tc 0.3800 0.1768 0.0000
Tc 0.5525 0.4296 0.5000
Tc 0.5704 0.1229 0.5000
Tc 0.6209 0.8963 0.0000
Tc 0.7196 0.7381 0.5000
Tc 0.7968 0.6200 0.0000
Tc 0.8232 0.2032 0.0000
Tc 0.8771 0.4475 0.5000
```

Computed properties:
Formation energy (no corrections) in eV/atom: -0.409
Density in g/cm3: 9.13

---

7.
Entry from the Alexandria database: a relaxed structure of Cd5Cu (GGA-PBE). Values from VASP.

```
&SYSTEM
  ibrav = 0, nat = 6, ntyp = 2
/
ATOMIC_SPECIES
Cd 112.41 Cd.upf
Cu 63.55 Cu.upf
CELL_PARAMETERS angstrom
6.1200 -1.4858 0.0000
6.1200 1.4858 0.0000
-3.1066 0.0000 6.9303
ATOMIC_POSITIONS crystal
Cd 0.0000 0.0000 0.0000
Cd 0.0030 0.0030 0.4117
Cd 0.3334 0.3334 0.6480
Cd 0.6521 0.6521 0.7948
Cd 0.7226 0.7226 0.2743
Cu 0.3354 0.3354 0.0845
```

Computed properties:
Density in g/cm3: 8.24
E above lowest polymorph in meV per atom: 12

---

8.
Entry from the Alexandria database: a relaxed structure of NdTcGe4 (GGA-PBE). Values from VASP.

```
&SYSTEM
  ibrav = 0, nat = 12, ntyp = 3
/
ATOMIC_SPECIES
Nd 144.24 Nd.upf
Tc 98.00 Tc.upf
Ge 72.64 Ge.upf
CELL_PARAMETERS angstrom
5.7269 -3.1749 0.0000
5.7269 3.1749 0.0000
-0.5068 0.0000 6.8975
ATOMIC_POSITIONS crystal
Nd 0.0996 0.9004 0.7500
Nd 0.9004 0.0996 0.2500
Tc 0.0000 0.5000 0.0000
Tc 0.5000 0.0000 0.5000
Ge 0.1341 0.3624 0.6512
Ge 0.3195 0.5744 0.0927
Ge 0.3624 0.1341 0.1512
Ge 0.4256 0.6805 0.4073
Ge 0.5744 0.3195 0.5927
Ge 0.6376 0.8659 0.8488
Ge 0.6805 0.4256 0.9073
Ge 0.8659 0.6376 0.3488
```

Computed properties:
Density in g/cm3: 7.05

---

9.
Entry from the Alexandria database: a relaxed structure of NdDy15Er4 (GGA-PBE). Values from VASP.

```
&SYSTEM
  ibrav = 0, nat = 20, ntyp = 3
/
ATOMIC_SPECIES
Nd 144.24 Nd.upf
Dy 162.50 Dy.upf
Er 167.26 Er.upf
CELL_PARAMETERS angstrom
5.0077 0.0000 0.0000
0.0000 5.0077 0.0000
0.0000 0.0000 25.0432
ATOMIC_POSITIONS crystal
Nd 0.0000 0.0000 0.0000
Dy 0.0000 0.5000 0.1019
Dy 0.0000 0.5000 0.3011
Dy 0.0000 0.5000 0.5000
Dy 0.0000 0.5000 0.6989
Dy 0.0000 0.5000 0.8981
Dy 0.5000 0.0000 0.1019
Dy 0.5000 0.0000 0.3011
Dy 0.5000 0.0000 0.5000
Dy 0.5000 0.0000 0.6989
Dy 0.5000 0.0000 0.8981
Dy 0.5000 0.5000 0.0000
Dy 0.5000 0.5000 0.2019
Dy 0.5000 0.5000 0.4006
Dy 0.5000 0.5000 0.5994
Dy 0.5000 0.5000 0.7981
Er 0.0000 0.0000 0.2014
Er 0.0000 0.0000 0.4006
Er 0.0000 0.0000 0.5994
Er 0.0000 0.0000 0.7986
```

Computed properties:
Density in g/cm3: 8.60

---

10.
Entry from the Alexandria database: a relaxed structure of ZrN2 (GGA-PBE). Values from VASP.

```
&SYSTEM
  ibrav = 0, nat = 3, ntyp = 2
/
ATOMIC_SPECIES
Zr 91.22 Zr.upf
N 14.01 N.upf
CELL_PARAMETERS angstrom
3.4023 0.0000 0.0000
-1.7012 2.9465 0.0000
0.0000 0.0000 4.4632
ATOMIC_POSITIONS crystal
Zr 0.0000 0.0000 0.0000
N 0.3333 0.6667 0.2182
N 0.6667 0.3333 0.7818
```

Computed properties:
Formation energy (no corrections) in eV/atom: 0.117
Density in g/cm3: 4.43

---

11.
Entry from the Alexandria database: a relaxed structure of GeAs2PN (GGA-PBE). Values from VASP.

```
&SYSTEM
  ibrav = 0, nat = 5, ntyp = 4
/
ATOMIC_SPECIES
Ge 72.64 Ge.upf
As 74.92 As.upf
P 30.97 P.upf
N 14.01 N.upf
CELL_PARAMETERS angstrom
4.3985 0.0000 0.0000
0.0000 4.3985 0.0000
0.0000 0.0000 4.3126
ATOMIC_POSITIONS crystal
Ge 0.0000 0.0000 0.0000
As 0.0000 0.5000 0.5000
As 0.5000 0.0000 0.5000
P 0.5000 0.5000 0.0000
N 0.0000 0.0000 0.5000
```

Computed properties:
Formation energy (no corrections) in eV/atom: 0.888
Density in g/cm3: 5.32

---

12.
Entry from the Alexandria database: a relaxed structure of Cs4Rb5Tl (GGA-PBE). Values from VASP.

```
&SYSTEM
  ibrav = 0, nat = 10, ntyp = 3
/
ATOMIC_SPECIES
Cs 132.91 Cs.upf
Rb 85.47 Rb.upf
Tl 204.38 Tl.upf
CELL_PARAMETERS angstrom
-7.7960 7.7960 3.7434
7.7960 -7.7960 3.7434
7.7960 7.7960 -3.7434
ATOMIC_POSITIONS crystal
Cs 0.0003 0.3175 0.3178
Cs 0.9997 0.6825 0.6822
Cs 0.3175 0.9997 0.3172
Cs 0.6825 0.0003 0.6828
Rb 0.3153 0.3159 0.6644
Rb 0.3159 0.6515 0.0006
Rb 0.6509 0.3153 0.9994
Rb 0.6515 0.6509 0.3356
Rb 0.9287 0.9287 0.0000
Tl 0.4210 0.4210 0.0000
```

Computed properties:
Density in g/cm3: 2.12

---

Energy? In order: -19.240 -86.826 -27.381 -59.161 -28.532 -185.786 -8.446 -69.969 -91.664 -24.846 -23.213 -10.512 eV/cell.